# 1
A plane-wave DFT calculation with PBEsol was carried out for a geometry-optimized Re2MoRu structure.

POSCAR file:
```
Re2MoRu
1.0
-0.480 -0.273 -2.669
0.199 -2.451 -1.176
-8.835 -2.448 0.446
Ru Mo Re
1 1 2
Cartesian
-4.558 -2.586 -1.700
0.000 0.000 0.000
-6.770 -3.867 -2.563
-2.346 -1.305 -0.836
```

Results
energy above the most stable polymorph in this dataset: 0.061 eV/atom
formation enthalpy at 0 K: 0.153 eV per atom
magnetic moment: 0.000 μB/cell

---

# 2
A plane-wave DFT calculation with PBEsol was carried out for a geometry-optimized ReMoRu2 structure.

POSCAR file:
```
ReMoRu2
1.0
-2.242 -0.264 1.511
0.072 -4.636 -0.704
2.476 1.013 3.852
Re Ru Mo
1 2 1
Cartesian
-1.121 -0.132 0.755
0.036 -2.318 -0.352
1.238 0.507 1.926
0.154 -1.944 2.329
```

Results
energy above the most stable polymorph in this dataset: 0.002 eV/atom
formation enthalpy at 0 K: 0.030 eV per atom
magnetic moment: 0.000 μB/cell

---

Q: Which value of formation enthalpy at 0 K does entry 1 give?
A: 0.153 eV per atom

---

Q: Among the records above, which one has the lowest energy above the most stable polymorph in this dataset?
A: ReMoRu2